Entry from Alexandria via LeMat-Bulk: a geometry-optimized ScMn2F8 structure (PBE with a Hubbard U).

Unit cell a=6.8923 b=6.8923 c=7.2363 alpha=95.70 beta=95.70 gamma=27.91
Positions (direct):
Sc: 0.0000 0.0000 0.0000
Mn: 0.2222 0.2222 0.6917
Mn: 0.7778 0.7778 0.3083
F: 0.0932 0.0932 0.7960
F: 0.2313 0.2313 0.1694
F: 0.3241 0.3241 0.5056
F: 0.4309 0.4309 0.8729
F: 0.5691 0.5691 0.1271
F: 0.6759 0.6759 0.4944
F: 0.7687 0.7687 0.8306
F: 0.9068 0.9068 0.2040

## Properties
volume: 160 Å³/f.u.
SG: C2/m
Fermi-level density of states: 2.39 states/eV/f.u.
calculated total energy: -6.251 eV/atom